Entry 1:
First-principles (PBE-GGA) data for NbV2Fe after structural relaxation, as listed in Alexandria via LeMat-Bulk.

Results
- symmetry = Cmcm (63)
- distance to the lowest polymorph of the same formula (eV per formula unit) = 0.49

Structure (POSCAR):
```
NbV2Fe
1.0
2.881 0.000 0.000
0.000 18.558 0.000
0.000 0.000 4.242
Nb V Fe
4 8 4
Direct
0.000 0.119 0.250 Nb
0.000 0.881 0.750 Nb
0.500 0.381 0.750 Nb
0.500 0.619 0.250 Nb
0.000 0.248 0.750 V
0.000 0.480 0.250 V
0.000 0.520 0.750 V
0.000 0.752 0.250 V
0.500 0.020 0.750 V
0.500 0.252 0.250 V
0.500 0.748 0.750 V
0.500 0.980 0.250 V
0.000 0.353 0.250 Fe
0.000 0.647 0.750 Fe
0.500 0.147 0.750 Fe
0.500 0.853 0.250 Fe
```

---

Entry 2:
First-principles (PBE-GGA) data for NdGa5 after structural relaxation, as listed in Alexandria via LeMat-Bulk.

Results
- symmetry = Cmmm (65)
- distance to the lowest polymorph of the same formula (eV per formula unit) = 0.17

Structure (POSCAR):
```
NdGa5
1.0
4.382 0.000 0.000
0.000 12.336 0.000
0.000 0.000 4.484
Nd Ga
2 10
Direct
0.000 0.000 0.000 Nd
0.500 0.500 0.000 Nd
0.000 0.176 0.500 Ga
0.000 0.315 0.000 Ga
0.000 0.500 0.500 Ga
0.000 0.685 0.000 Ga
0.000 0.824 0.500 Ga
0.500 0.000 0.500 Ga
0.500 0.185 0.000 Ga
0.500 0.324 0.500 Ga
0.500 0.676 0.500 Ga
0.500 0.815 0.000 Ga
```

---

Entry 3:
First-principles (PBE-GGA) data for Cu2RhI after structural relaxation, as listed in Alexandria via LeMat-Bulk.

Results
- formation energy (no corrections) (eV per atom) = 0.6159
- symmetry = Fm-3m (225)
- distance to the lowest polymorph of the same formula (eV per formula unit) = 0.37

Structure (POSCAR):
```
Cu2RhI
1.0
6.407 0.000 0.000
0.000 6.407 0.000
0.000 0.000 6.407
Cu Rh I
8 4 4
Direct
0.250 0.250 0.250 Cu
0.250 0.250 0.750 Cu
0.250 0.750 0.250 Cu
0.250 0.750 0.750 Cu
0.750 0.250 0.250 Cu
0.750 0.250 0.750 Cu
0.750 0.750 0.250 Cu
0.750 0.750 0.750 Cu
0.000 0.000 0.000 Rh
0.000 0.500 0.500 Rh
0.500 0.000 0.500 Rh
0.500 0.500 0.000 Rh
0.000 0.000 0.500 I
0.000 0.500 0.000 I
0.500 0.000 0.000 I
0.500 0.500 0.500 I
```